Record 1
The following is a PBE calculation of an optimized crystal structure of Ho2Co3B4, from Alexandria via LeMat-Bulk.

a = 4.8566 Å, b = 4.8566 Å, c = 6.0109 Å
α = 101.94°, β = 101.94°, γ = 119.21°
With the nearest neighbours (Å) after each atom.
Positions (direct):
Ho  0.6499  0.6499  0.2997  8 B 2.72-2.87, 6 Co 2.93-2.96
Ho  0.3501  0.3501  0.7003  8 B 2.72-2.87, 6 Co 2.93-2.96
Co  0.5000  0.0000  0.0000  4 B 1.99
Co  0.0000  0.0000  0.0000  4 B 2.06
Co  0.0000  0.5000  0.0000  4 B 1.99
B  0.0453  0.6925  0.7378  3 Co 1.99-2.06
B  0.6925  0.0453  0.7378  3 Co 1.99-2.06
B  0.9547  0.3075  0.2622  3 Co 1.99-2.06
B  0.3075  0.9547  0.2622  3 Co 1.99-2.06

Properties
Uncorrected energy: -6.41 eV per atom
SG: Fmmm (69)

***

Record 2
The following is a PBE calculation of an optimized crystal structure of HoCo9B4, from Alexandria via LeMat-Bulk.

a = 7.2820 Å, b = 7.2820 Å, c = 7.4433 Å
α = 119.29°, β = 119.29°, γ = 90.00°
With the nearest neighbours (Å) after each atom.
Positions (direct):
Ho  0.7520  0.7520  0.5040  16 Co 2.81-3.12, 4 B 2.84
Ho  0.2480  0.2480  0.4960  16 Co 2.81-3.12, 4 B 2.84
Co  0.1954  0.0964  0.0000  2 B 2.01, 2 Co 2.24
Co  0.8046  0.9036  0.0000  2 B 2.01, 2 Co 2.24
Co  0.5929  0.3074  0.0000  6 Co 2.20-2.41, 4 B 2.27-2.39
Co  0.4071  0.6926  0.0000  6 Co 2.20-2.41, 4 B 2.27-2.39
Co  0.3074  0.4071  0.0000  6 Co 2.20-2.41, 4 B 2.27-2.39
Co  0.6926  0.5929  0.0000  6 Co 2.20-2.41, 4 B 2.27-2.39
Co  0.0964  0.8046  0.0000  2 B 2.01, 2 Co 2.24
Co  0.9036  0.1954  0.0000  2 B 2.01, 2 Co 2.24
Co  0.0000  0.5000  0.0000  4 B 2.16, 8 Co 2.33-2.41
Co  0.5000  0.0000  0.0000  4 B 2.16, 8 Co 2.33-2.41
Co  0.8308  0.3088  0.3570  3 B 2.01-2.19
Co  0.5263  0.0482  0.3570  3 B 2.01-2.19
Co  0.9518  0.1692  0.6430  3 B 2.01-2.19
Co  0.6912  0.4737  0.6430  3 B 2.01-2.19
Co  0.1692  0.6912  0.6430  3 B 2.01-2.19
Co  0.4737  0.9518  0.6430  3 B 2.01-2.19
Co  0.3088  0.5263  0.3570  3 B 2.01-2.19
Co  0.0482  0.8308  0.3570  3 B 2.01-2.19
B  0.3107  0.7674  0.2706  5 Co 2.01-2.19
B  0.9599  0.5032  0.2706  5 Co 2.01-2.19
B  0.4968  0.6893  0.7294  5 Co 2.01-2.19
B  0.2326  0.0401  0.7294  5 Co 2.01-2.19
B  0.6893  0.2326  0.7294  5 Co 2.01-2.19
B  0.0401  0.4968  0.7294  5 Co 2.01-2.19
B  0.7674  0.9599  0.2706  5 Co 2.01-2.19
B  0.5032  0.3107  0.2706  5 Co 2.01-2.19

Properties
Uncorrected energy: -7.01 eV per atom
SG: I4/m (87)

***

Record 3
The following is a PBE calculation of an optimized crystal structure of HoCo3B2, from Alexandria via LeMat-Bulk.

a = 4.8294 Å, b = 5.3154 Å, c = 5.3154 Å
α = 100.58°, β = 90.00°, γ = 90.00°
With the nearest neighbours (Å) after each atom.
Positions (direct):
Ho  0.2500  0.3489  0.3489  3 Co 2.57-2.65, 4 B 2.86
Ho  0.7500  0.6511  0.6511  3 Co 2.57-2.65, 4 B 2.86
Co  0.7500  0.4976  0.0832  2 B 1.99
Co  0.7500  0.0832  0.4976  2 B 1.99
Co  0.2500  0.5024  0.9168  2 B 1.99
Co  0.7500  0.0410  0.0410  4 B 2.11
Co  0.2500  0.9590  0.9590  4 B 2.11
Co  0.2500  0.9168  0.5024  2 B 1.99
B  0.5000  0.7913  0.2087  4 Co 1.99-2.11
B  0.0000  0.7913  0.2087  4 Co 1.99-2.11
B  0.0000  0.2087  0.7913  4 Co 1.99-2.11
B  0.5000  0.2087  0.7913  4 Co 1.99-2.11

Properties
Energy above the most stable polymorph in this dataset: 259 meV/atom
Uncorrected energy: -6.79 eV per atom
SG: Cmcm (63)

***

Record 4
The following is a PBE calculation of an optimized crystal structure of Ho3Co3B8, from Alexandria via LeMat-Bulk.

a = 3.2366 Å, b = 6.9901 Å, c = 6.9901 Å
α = 78.90°, β = 76.61°, γ = 76.61°
With the nearest neighbours (Å) after each atom.
Positions (direct):
Ho  0.5000  0.5000  0.5000  12 B 2.84-3.01, 4 Co 2.96, 2 Ho 3.06
Ho  0.7968  0.2032  0.2032  10 B 2.64-2.73, 4 Co 2.65-2.87
Ho  0.2032  0.7968  0.7968  10 B 2.64-2.73, 4 Co 2.65-2.87
Co  0.5000  0.0000  0.0000  4 B 2.42, 4 Co 2.55, 4 Ho 2.65
Co  0.0000  0.7786  0.2214  6 B 2.01-2.14
Co  0.0000  0.2214  0.7786  6 B 2.01-2.14
B  0.6364  0.0853  0.6419  3 B 1.84-1.90
B  0.3636  0.9147  0.3581  3 B 1.84-1.90
B  0.6364  0.6419  0.0853  3 B 1.84-1.90
B  0.3636  0.3581  0.9147  3 B 1.84-1.90
B  0.8190  0.8743  0.4877  3 B 1.84-1.90, 1 Co 2.01
B  0.1810  0.1257  0.5123  3 B 1.84-1.90, 1 Co 2.01
B  0.8190  0.4877  0.8743  3 B 1.84-1.90, 1 Co 2.01
B  0.1810  0.5123  0.1257  3 B 1.84-1.90, 1 Co 2.01

Properties
Uncorrected energy: -6.58 eV per atom
SG: Immm (71)

***

Record 5
The following is a PBE calculation of an optimized crystal structure of HoCo5B3, from Alexandria via LeMat-Bulk.

a = 3.4364 Å, b = 5.6851 Å, c = 10.2896 Å
α = 90.00°, β = 90.00°, γ = 107.59°
With the nearest neighbours (Å) after each atom.
Positions (direct):
Ho  0.8355  0.6711  0.7500  6 B 2.78-2.87, 4 Co 2.94
Ho  0.1645  0.3289  0.2500  6 B 2.78-2.87, 4 Co 2.94
Co  0.7986  0.5972  0.4343  2 B 1.99-2.07
Co  0.2014  0.4028  0.9343  2 B 1.99-2.07
Co  0.0000  0.0000  0.5000  4 B 2.18, 6 Co 2.28-2.35
Co  0.0000  0.0000  0.0000  4 B 2.18, 6 Co 2.28-2.35
Co  0.4447  0.8894  0.1440  4 B 2.04-2.17, 1 Co 2.18
Co  0.5553  0.1106  0.8560  4 B 2.04-2.17, 1 Co 2.18
Co  0.5553  0.1106  0.6440  4 B 2.04-2.17, 1 Co 2.18
Co  0.7986  0.5972  0.0657  2 B 1.99-2.07
Co  0.2014  0.4028  0.5657  2 B 1.99-2.07
Co  0.4447  0.8894  0.3560  4 B 2.04-2.17, 1 Co 2.18
B  0.3834  0.7669  0.9561  5 Co 1.99-2.18
B  0.8762  0.7524  0.2500  6 Co 2.07-2.17
B  0.3834  0.7669  0.5439  5 Co 1.99-2.18
B  0.6166  0.2331  0.4561  5 Co 1.99-2.18
B  0.1238  0.2476  0.7500  6 Co 2.07-2.17
B  0.6166  0.2331  0.0439  5 Co 1.99-2.18

Properties
Uncorrected energy: -6.96 eV per atom
SG: Cmcm (63)

***

Record 6
The following is a PBE calculation of an optimized crystal structure of Ho2Co2B3, from Alexandria via LeMat-Bulk.

a = 3.7944 Å, b = 5.0928 Å, c = 5.7420 Å
α = 111.01°, β = 90.00°, γ = 111.87°
With the nearest neighbours (Å) after each atom.
Positions (direct):
Ho  0.8859  0.7719  0.2040  5 B 2.67-2.82, 4 Co 2.79-2.95
Ho  0.1141  0.2281  0.7960  5 B 2.67-2.82, 4 Co 2.79-2.95
Co  0.7953  0.5905  0.6413  3 B 2.02-2.03
Co  0.2047  0.4095  0.3587  3 B 2.02-2.03
B  0.5000  0.0000  0.0000  2 B 1.66
B  0.6221  0.2442  0.2986  1 B 1.66
B  0.3779  0.7558  0.7014  1 B 1.66

Properties
Uncorrected energy: -6.48 eV per atom
SG: C2/m (12)

***

Which of these has the lowest uncorrected energy?
HoCo9B4